## GdHo2Mg4In2 (GGA-PBE)

Data for an optimized crystal structure of GdHo2Mg4In2.

- Calculated total energy: -3.111 eV/atom
- Space-group type: Amm2, No. 38

Structure (POSCAR):
```
GdHo2Mg4In2
1.0
4.657 0.000 0.000
0.000 6.580 3.775
0.000 -6.580 3.775
Gd Ho In Mg
1 2 2 4
Direct
0.000 0.435 0.435
0.000 0.565 0.001
0.000 0.001 0.565
0.500 0.669 0.333
0.500 0.333 0.669
0.500 0.243 0.000
0.500 0.000 0.243
0.500 0.756 0.756
0.000 0.997 0.997
```

=====

## AgH6IrAu (GGA-PBE)

Data for an optimized crystal structure of AgH6IrAu.

- Calculated total energy: -3.221 eV/atom
- Space-group type: F-43m, No. 216

Structure (POSCAR):
```
AgH6IrAu
1.0
-0.066 2.002 4.266
-3.729 2.545 1.351
-2.895 -1.649 3.332
Ag Au H Ir
1 1 6 1
Direct
0.750 0.750 0.750
0.500 0.500 0.500
0.769 0.231 0.231
0.231 0.769 0.231
0.769 0.769 0.231
0.231 0.231 0.769
0.769 0.231 0.769
0.231 0.769 0.769
0.250 0.250 0.250
```